# Ca3NF3

A geometry-optimized Ca3NF3 structure (PBE, Alexandria).

a b c (Å): 4.8261 4.8261 4.8261
angles (deg): 90.00 90.00 90.00
With the nearest neighbours (Å) after each atom.
Atoms (fractional coordinates):
Ca1 0.5000 0.0000 0.5000  4 F 2.41, 2 N 2.41
N1 0.5000 0.5000 0.5000  6 Ca 2.41
F1 0.5000 0.0000 0.0000  4 Ca 2.41
F2 0.0000 0.5000 0.0000  4 Ca 2.41
Ca2 0.0000 0.5000 0.5000  4 F 2.41, 2 N 2.41
F3 0.0000 0.0000 0.5000  4 Ca 2.41
Ca3 0.5000 0.5000 0.0000  4 F 2.41, 2 N 2.41

ΔE_f (raw)	-2.841	eV per atom


# CaNF2

A geometry-optimized CaNF2 structure (PBE, Alexandria).

a b c (Å): 4.7140 4.7140 7.4206
angles (deg): 71.48 71.48 90.00
With the nearest neighbours (Å) after each atom.
Atoms (fractional coordinates):
F1 0.7097 0.1250 0.2500  2 Ca 2.18
F2 0.8750 0.9597 0.7500  2 Ca 2.18
Ca1 0.0000 0.0000 0.0000  4 F 2.18
N1 0.2500 0.7500 0.5000  4 F 2.57
N2 0.5000 0.5000 0.0000  4 F 2.57
F3 0.3750 0.2903 0.7500  2 Ca 2.18
Ca2 0.7500 0.2500 0.5000  4 F 2.18
F4 0.0403 0.6250 0.2500  2 Ca 2.18

ΔE_f (raw)	-1.354	eV per atom
energy above the most stable polymorph in this dataset	0.200	eV per atom


# Ca4N2F5

A geometry-optimized Ca4N2F5 structure (PBE, Alexandria).

a b c (Å): 3.5283 6.4398 8.0597
angles (deg): 113.55 102.64 90.00
With the nearest neighbours (Å) after each atom.
Atoms (fractional coordinates):
F1 0.1756 0.9232 0.3512  4 Ca 2.37-2.52
Ca1 0.0000 0.7405 0.0000  4 F 2.43-2.52, 4 N 2.44
F2 0.8244 0.0768 0.6488  4 Ca 2.37-2.52
F3 0.8244 0.5721 0.6488  4 Ca 2.37-2.52
Ca2 0.2957 0.2957 0.5914  1 N 2.26, 6 F 2.37-2.41
N1 0.5470 0.5470 0.0940  1 N 1.35
N2 0.4530 0.4530 0.9060  1 N 1.35
Ca3 0.7043 0.7043 0.4086  1 N 2.26, 6 F 2.37-2.41
F4 0.1756 0.4279 0.3512  4 Ca 2.37-2.52
Ca4 0.0000 0.2595 0.0000  4 F 2.43-2.52, 4 N 2.44
F5 0.5000 0.0000 0.0000  4 Ca 2.43

ΔE_f (raw)	-2.799	eV per atom


# CaNF3

A geometry-optimized CaNF3 structure (PBE, Alexandria).

a b c (Å): 4.0068 4.0068 4.0068
angles (deg): 90.00 90.00 90.00
With the nearest neighbours (Å) after each atom.
Atoms (fractional coordinates):
F1 0.5000 0.0000 0.0000  2 N 2.00
Ca1 0.5000 0.5000 0.5000  12 F 2.83
F2 0.0000 0.5000 0.0000  2 N 2.00
N1 0.0000 0.0000 0.0000  6 F 2.00
F3 0.0000 0.0000 0.5000  2 N 2.00

ΔE_f (raw)	-1.056	eV per atom
energy above the most stable polymorph in this dataset	0.769	eV per atom


# CaNF3

A geometry-optimized CaNF3 structure (PBE, Alexandria).

a b c (Å): 10.0959 7.9685 3.6228
angles (deg): 98.02 75.66 43.61
With the nearest neighbours (Å) after each atom.
Atoms (fractional coordinates):
F1 0.6670 0.7972 0.8352  3 Ca 2.29-2.31
N1 0.9294 0.8176 0.2603  1 F 1.35
F2 0.7012 0.5026 0.2193  3 Ca 2.29-2.31
F3 0.1578 0.0459 0.7637  3 Ca 2.29-2.31
F4 0.9387 0.9433 0.5205  1 N 1.35
Ca1 0.9316 0.3277 0.5065  6 F 2.29-2.31
Ca2 0.4366 0.9722 0.5479  6 F 2.29-2.31
F5 0.2103 0.2540 0.2908  3 Ca 2.29-2.31
F6 0.4294 0.3565 0.5340  1 N 1.35
N2 0.4387 0.4823 0.7942  1 F 1.35

ΔE_f (raw)	-1.825	eV per atom
energy above the most stable polymorph in this dataset	0.000	eV per atom


# CaNF2

A geometry-optimized CaNF2 structure (PBE, Alexandria).

a b c (Å): 3.6426 6.2917 8.8762
angles (deg): 131.41 90.00 90.00
With the nearest neighbours (Å) after each atom.
Atoms (fractional coordinates):
Ca1 0.2777 0.8430 0.5517  6 F 2.30
Ca2 0.7777 0.3428 0.5516  6 F 2.30
N1 0.2777 0.3432 0.0517  6 F 3.12-3.32, 2 Ca 3.33
F1 0.2777 0.0443 0.4104  3 Ca 2.30
F2 0.2777 0.6413 0.6928  3 Ca 2.30
N2 0.7777 0.8435 0.0517  6 F 3.12-3.32, 2 Ca 3.33-3.34
F3 0.7777 0.1415 0.6929  3 Ca 2.30
F4 0.7777 0.5445 0.4105  3 Ca 2.30

ΔE_f (raw)	-1.554	eV per atom
energy above the most stable polymorph in this dataset	0.000	eV per atom


# Ca4NF6

A geometry-optimized Ca4NF6 structure (PBE, Alexandria).

a b c (Å): 5.4993 7.8568 7.8568
angles (deg): 90.00 90.00 90.00
With the nearest neighbours (Å) after each atom.
Atoms (fractional coordinates):
Ca1 0.7048 0.2604 0.0000  6 F 2.33-2.54, 1 N 2.34
F1 0.5000 0.7111 0.7111  4 Ca 2.35-2.54
F2 0.0000 0.2111 0.7889  4 Ca 2.35-2.54
F3 0.0000 0.2111 0.2111  4 Ca 2.35-2.54
F4 0.0000 0.7889 0.7889  4 Ca 2.35-2.54
F5 0.4558 0.5000 0.0000  4 Ca 2.33
Ca2 0.2952 0.0000 0.7396  6 F 2.33-2.54, 1 N 2.34
F6 0.5000 0.7111 0.2889  4 Ca 2.35-2.54
N1 0.0000 0.5000 0.5000  4 Ca 2.34
F7 0.0000 0.7889 0.2111  4 Ca 2.35-2.54
Ca3 0.7952 0.7604 0.5000  6 F 2.33-2.54, 1 N 2.34
F8 0.0442 0.0000 0.5000  4 Ca 2.33
N2 0.5000 0.0000 0.0000  4 Ca 2.34
Ca4 0.2048 0.5000 0.2396  6 F 2.33-2.54, 1 N 2.34
Ca5 0.2952 0.0000 0.2604  6 F 2.33-2.54, 1 N 2.34
F9 0.5000 0.2889 0.2889  4 Ca 2.35-2.54
Ca6 0.7952 0.2396 0.5000  6 F 2.33-2.54, 1 N 2.34
Ca7 0.7048 0.7396 0.0000  6 F 2.33-2.54, 1 N 2.34
F10 0.5000 0.2889 0.7111  4 Ca 2.35-2.54
Ca8 0.2048 0.5000 0.7604  6 F 2.33-2.54, 1 N 2.34
F11 0.5442 0.0000 0.5000  4 Ca 2.33
F12 0.9558 0.5000 0.0000  4 Ca 2.33

ΔE_f (raw)	-3.216	eV per atom


# CaNF2

A geometry-optimized CaNF2 structure (PBE, Alexandria).

a b c (Å): 5.2234 5.2234 5.2234
angles (deg): 42.48 42.48 42.48
With the nearest neighbours (Å) after each atom.
Atoms (fractional coordinates):
F1 0.2757 0.2757 0.2757  3 Ca 2.33
Ca1 0.0000 0.0000 0.0000  6 F 2.33
F2 0.7243 0.7243 0.7243  3 Ca 2.33
N1 0.5000 0.5000 0.5000  6 F 2.68

ΔE_f (raw)	-1.492	eV per atom
energy above the most stable polymorph in this dataset	0.062	eV per atom


# CaNF3

A geometry-optimized CaNF3 structure (PBE, Alexandria).

a b c (Å): 4.5023 4.5023 4.5023
angles (deg): 90.00 90.00 90.00
With the nearest neighbours (Å) after each atom.
Atoms (fractional coordinates):
Ca1 0.0000 0.0000 0.0000  6 F 2.25
N1 0.5000 0.5000 0.5000  12 F 3.18
F1 0.0000 0.5000 0.0000  2 Ca 2.25
F2 0.0000 0.0000 0.5000  2 Ca 2.25
F3 0.5000 0.0000 0.0000  2 Ca 2.25

ΔE_f (raw)	-1.179	eV per atom
energy above the most stable polymorph in this dataset	0.646	eV per atom


# CaNF2

A geometry-optimized CaNF2 structure (PBE, Alexandria).

a b c (Å): 4.1289 4.1289 4.1289
angles (deg): 60.00 60.00 60.00
With the nearest neighbours (Å) after each atom.
Atoms (fractional coordinates):
Ca1 0.5000 0.5000 0.5000  8 F 2.53
F1 0.7500 0.7500 0.7500  4 Ca 2.53, 4 N 2.53
F2 0.2500 0.2500 0.2500  4 Ca 2.53, 4 N 2.53
N1 0.0000 0.0000 0.0000  8 F 2.53

ΔE_f (raw)	-1.438	eV per atom
energy above the most stable polymorph in this dataset	0.117	eV per atom


# Ca7NF12

A geometry-optimized Ca7NF12 structure (PBE, Alexandria).

a b c (Å): 8.4969 7.5949 7.5949
angles (deg): 106.94 111.90 111.90
With the nearest neighbours (Å) after each atom.
Atoms (fractional coordinates):
F1 0.0698 0.8815 0.3926  3 Ca 2.26-2.31
F2 0.8116 0.4889 0.8815  3 Ca 2.26-2.31
F3 0.3228 0.3926 0.5111  3 Ca 2.26-2.31
Ca1 0.8618 0.2130 0.8675  5 F 2.26-2.36
F4 0.6772 0.6074 0.4889  3 Ca 2.26-2.31
Ca2 0.1382 0.7870 0.1325  5 F 2.26-2.36
F5 0.8313 0.2659 0.1724  3 Ca 2.27-2.36
Ca3 0.0058 0.8675 0.6545  5 F 2.26-2.36
Ca4 0.6487 0.6545 0.7870  5 F 2.26-2.36
F6 0.3411 0.1724 0.9065  3 Ca 2.27-2.36
N1 0.0000 0.0000 0.0000  6 Ca 2.55
Ca5 0.3513 0.3455 0.2130  5 F 2.26-2.36
F7 0.1884 0.5111 0.1185  3 Ca 2.26-2.31
F8 0.5654 0.9065 0.7341  3 Ca 2.27-2.36
F9 0.9302 0.1185 0.6074  3 Ca 2.26-2.31
Ca6 0.9942 0.1325 0.3455  5 F 2.26-2.36
F10 0.4346 0.0935 0.2659  3 Ca 2.27-2.36
F11 0.1687 0.7341 0.8276  3 Ca 2.27-2.36
F12 0.6589 0.8276 0.0935  3 Ca 2.27-2.36
Ca7 0.5000 0.0000 0.0000  6 F 2.28

ΔE_f (raw)	-3.464	eV per atom


# CaNF2

A geometry-optimized CaNF2 structure (PBE, Alexandria).

a b c (Å): 5.5139 5.5139 5.5139
angles (deg): 41.21 41.21 41.21
With the nearest neighbours (Å) after each atom.
Atoms (fractional coordinates):
Ca1 0.5000 0.5000 0.5000  6 F 2.33
N1 0.0000 0.0000 0.0000  2 F 1.89
F1 0.8751 0.8751 0.8751  1 N 1.89
F2 0.1249 0.1249 0.1249  1 N 1.89

ΔE_f (raw)	-1.206	eV per atom
energy above the most stable polymorph in this dataset	0.348	eV per atom


# Ca3N2F

A geometry-optimized Ca3N2F structure (PBE, Alexandria).

a b c (Å): 4.9428 6.1446 7.0518
angles (deg): 106.67 90.00 113.72
With the nearest neighbours (Å) after each atom.
Atoms (fractional coordinates):
Ca1 0.8212 0.6422 0.9106  4 N 2.45-2.48, 2 F 2.60
F1 0.9999 0.0000 0.7500  6 Ca 2.47-2.60
Ca2 0.1788 0.3578 0.0894  4 N 2.45-2.48, 2 F 2.60
Ca3 0.5001 0.0000 0.2500  2 F 2.47, 4 N 2.47
N1 0.3377 0.6752 0.9188  6 Ca 2.45-2.48
N2 0.3374 0.6752 0.4188  6 Ca 2.45-2.48
Ca4 0.8210 0.6422 0.4106  4 N 2.45-2.48, 2 F 2.60
F2 0.0001 0.0000 0.2500  6 Ca 2.47-2.60
Ca5 0.1790 0.3578 0.5894  4 N 2.45-2.48, 2 F 2.60
N3 0.6623 0.3248 0.0812  6 Ca 2.45-2.48
N4 0.6626 0.3248 0.5812  6 Ca 2.45-2.48
Ca6 0.4999 0.0000 0.7500  2 F 2.47, 4 N 2.47

ΔE_f (raw)	-1.488	eV per atom


# NaCaN2F

A geometry-optimized NaCaN2F structure (PBE, Alexandria).

a b c (Å): 4.3190 3.7920 4.3190
angles (deg): 90.00 90.00 90.00
With the nearest neighbours (Å) after each atom.
Atoms (fractional coordinates):
Ca1 0.5000 0.5000 0.5000  8 N 2.87, 4 Na 3.05
Na1 0.0000 0.5000 0.0000  2 F 1.90
N1 0.0000 0.0000 0.5000  2 F 2.16
F1 0.0000 0.0000 0.0000  2 Na 1.90
N2 0.5000 0.0000 0.0000  2 F 2.16

ΔE_f (raw)	0.529	eV per atom
energy above the most stable polymorph in this dataset	0.550	eV per atom


# NaCaN2F

A geometry-optimized NaCaN2F structure (PBE, Alexandria).

a b c (Å): 4.7723 4.7723 4.3843
angles (deg): 90.00 90.00 90.00
With the nearest neighbours (Å) after each atom.
Atoms (fractional coordinates):
N1 0.0000 0.5000 0.0000  2 Ca 2.39
N2 0.5000 0.0000 0.0000  2 Ca 2.39
Na1 0.5000 0.5000 0.5000  8 N 3.24, 4 F 3.37
F1 0.0000 0.0000 0.5000  2 Ca 2.19
Ca1 0.0000 0.0000 0.0000  2 F 2.19, 4 N 2.39

ΔE_f (raw)	-0.021	eV per atom
energy above the most stable polymorph in this dataset	0.000	eV per atom


# NaCaN2F

A geometry-optimized NaCaN2F structure (PBE, Alexandria).

a b c (Å): 4.4018 4.4018 4.0385
angles (deg): 90.00 90.00 90.00
With the nearest neighbours (Å) after each atom.
Atoms (fractional coordinates):
N1 0.5000 0.0000 0.0000  2 Na 2.20
F1 0.0000 0.0000 0.5000  2 Na 2.02
N2 0.0000 0.5000 0.0000  2 Na 2.20
Ca1 0.5000 0.5000 0.5000  8 N 2.99, 4 F 3.11
Na1 0.0000 0.0000 0.0000  2 F 2.02, 4 N 2.20

ΔE_f (raw)	0.212	eV per atom
energy above the most stable polymorph in this dataset	0.233	eV per atom


# CaN2OF

A geometry-optimized CaN2OF structure (PBE, Alexandria).

a b c (Å): 5.0455 5.0455 4.3137
angles (deg): 90.00 90.00 90.00
With the nearest neighbours (Å) after each atom.
Atoms (fractional coordinates):
F1 0.0000 0.0000 0.5000  2 Ca 2.16
N1 0.0000 0.5000 0.0000  2 Ca 2.52
Ca1 0.0000 0.0000 0.0000  2 F 2.16
O1 0.5000 0.5000 0.5000  8 N 3.32, 4 F 3.57
N2 0.5000 0.0000 0.0000  2 Ca 2.52

ΔE_f (raw)	0.992	eV per atom


# CaN2OF

A geometry-optimized CaN2OF structure (PBE, Alexandria).

a b c (Å): 3.6059 3.6059 4.9850
angles (deg): 90.00 90.00 90.00
With the nearest neighbours (Å) after each atom.
Atoms (fractional coordinates):
Ca1 0.5000 0.5000 0.5000  4 O 2.55
O1 0.0000 0.0000 0.5000  2 F 2.49, 4 Ca 2.55
N1 0.5000 0.0000 0.0000  2 F 1.80
N2 0.0000 0.5000 0.0000  2 F 1.80
F1 0.0000 0.0000 0.0000  4 N 1.80

ΔE_f (raw)	1.032	eV per atom


# CaN2OF

A geometry-optimized CaN2OF structure (PBE, Alexandria).

a b c (Å): 3.4367 3.4367 4.9106
angles (deg): 90.00 90.00 90.00
With the nearest neighbours (Å) after each atom.
Atoms (fractional coordinates):
O1 0.0000 0.0000 0.0000  4 N 1.72
N1 0.5000 0.0000 0.0000  2 O 1.72
F1 0.0000 0.0000 0.5000  4 Ca 2.43, 2 O 2.46
N2 0.0000 0.5000 0.0000  2 O 1.72
Ca1 0.5000 0.5000 0.5000  4 F 2.43

ΔE_f (raw)	0.385	eV per atom


# Ca6N2OF3

A geometry-optimized Ca6N2OF3 structure (PBE, Alexandria).

a b c (Å): 6.2298 6.2298 6.1153
angles (deg): 97.27 97.27 122.15
With the nearest neighbours (Å) after each atom.
Atoms (fractional coordinates):
Ca1 0.0571 0.3933 0.2236  2 F 2.37-2.50, 2 N 2.41-2.45, 1 O 2.47
Ca2 0.3933 0.0571 0.2236  2 F 2.37-2.50, 2 N 2.41-2.45, 1 O 2.47
F1 0.7789 0.2211 0.5000  4 Ca 2.37-2.50
O1 0.0000 0.0000 0.0000  6 Ca 2.40-2.47
N1 0.3341 0.6659 0.0000  6 Ca 2.41-2.45
N2 0.6659 0.3341 0.0000  6 Ca 2.41-2.45
Ca3 0.7178 0.7178 0.2136  1 O 2.40, 2 N 2.41, 1 F 2.45
Ca4 0.2822 0.2822 0.7864  1 O 2.40, 2 N 2.41, 1 F 2.45
F2 0.2211 0.7789 0.5000  4 Ca 2.37-2.50
Ca5 0.9429 0.6067 0.7764  2 F 2.37-2.50, 2 N 2.41-2.45, 1 O 2.47
Ca6 0.6067 0.9429 0.7764  2 F 2.37-2.50, 2 N 2.41-2.45, 1 O 2.47
F3 0.5000 0.5000 0.5000  6 Ca 2.45-2.74

ΔE_f (raw)	-2.277	eV per atom